(1)
Pr3ThSc2Te6 | GGA-PBE | relaxed

Values from the calculation:
Raw formation energy = -1240 meV/atom
Total magnetization = 0.0 μB/f.u.
V = 362.5 Å³/cell

a = 4.3464 Å, b = 8.9261 Å, c = 9.8070 Å
α = 101.99°, β = 102.80°, γ = 90.00°
Fractional coordinates of all 12 atoms:
Sc1 0.1666 0.3331 0.3331
Sc2 0.8334 0.6669 0.6669
Pr1 0.1562 0.8343 0.3123
Pr2 0.5000 0.5000 0.0000
Pr3 0.8438 0.1657 0.6877
Te1 0.3264 0.4290 0.6527
Te2 0.9877 0.7435 0.9754
Te3 0.0123 0.2565 0.0246
Te4 0.6736 0.5710 0.3473
Te5 0.3285 0.8924 0.6570
Te6 0.6715 0.1076 0.3430
Th1 0.5000 0.0000 0.0000

***

(2)
CaCuN | GGA-PBE | relaxed

Values from the calculation:
Raw formation energy = -183 meV/atom
Total magnetization = 0.0 μB/f.u.
V = 81.9 Å³/cell

a = 3.6013 Å, b = 3.5974 Å, c = 7.3035 Å
α = 90.00°, β = 90.00°, γ = 120.04°
Fractional coordinates of all 6 atoms:
N1 0.3325 0.6649 0.7500
N2 0.6675 0.3351 0.2500
Ca1 0.0000 0.0000 0.0000
Ca2 0.0000 0.0000 0.5000
Cu1 0.3338 0.6677 0.2500
Cu2 0.6662 0.3323 0.7500

***

(3)
SrTaTlS4 | GGA-PBE | relaxed

Values from the calculation:
Raw formation energy = -1199 meV/atom
Total magnetization = 0.0 μB/f.u.
V = 419.6 Å³/cell

a = 7.1292 Å, b = 6.9583 Å, c = 8.8361 Å
α = 90.00°, β = 106.81°, γ = 90.00°
Fractional coordinates of all 14 atoms:
Ta1 0.2233 0.7500 0.3163
Ta2 0.7767 0.2500 0.6837
Tl1 0.7362 0.7500 0.9303
Tl2 0.2638 0.2500 0.0697
Sr1 0.7683 0.7500 0.4430
Sr2 0.2317 0.2500 0.5570
S1 0.5826 0.2500 0.8482
S2 0.5891 0.2500 0.4271
S3 0.4174 0.7500 0.1518
S4 0.0137 0.0067 0.2724
S5 0.4109 0.7500 0.5729
S6 0.9863 0.5067 0.7276
S7 0.0137 0.4933 0.2724
S8 0.9863 0.9933 0.7276

***

(4)
CaScTlS2 | GGA-PBE | relaxed

Values from the calculation:
Raw formation energy = -77 meV/atom
Total magnetization = 0.7 μB/f.u.
V = 145.8 Å³/cell

a = 5.1488 Å, b = 5.5007 Å, c = 5.1488 Å
α = 90.00°, β = 90.00°, γ = 90.00°
Last column: magnetic moment on the atom in μB.
Fractional coordinates of all 5 atoms:
S1 0.0000 0.0000 0.5000  0.01
S2 0.5000 0.0000 0.0000  0.00
Sc1 0.5000 0.5000 0.5000  0.41
Tl1 0.0000 0.5000 0.0000  0.04
Ca1 0.0000 0.0000 0.0000  0.01

***

(5)
Y2Si2Hg | GGA-PBE | relaxed

Values from the calculation:
Raw formation energy = -181 meV/atom
Total magnetization = 0.0 μB/f.u.
V = 130.4 Å³/cell

a = 5.4161 Å, b = 5.4161 Å, c = 5.8681 Å
α = 62.52°, β = 62.52°, γ = 90.00°
Fractional coordinates of all 5 atoms:
Y1 0.7500 0.2500 0.5000
Y2 0.2500 0.7500 0.5000
Si1 0.6350 0.6350 0.7300
Si2 0.3650 0.3650 0.2700
Hg1 0.0000 0.0000 0.0000

***

(6)
ScPaGaMo | GGA-PBE | relaxed

Values from the calculation:
Total magnetization = 0.0 μB/f.u.
V = 80.9 Å³/cell
Formation enthalpy at 0 K = -0.37 eV per formula unit

a = 4.8542 Å, b = 4.8542 Å, c = 4.8542 Å
α = 60.00°, β = 60.00°, γ = 60.00°
Fractional coordinates of all 4 atoms:
Ga1 0.7500 0.7500 0.7500
Sc1 0.5000 0.5000 0.5000
Mo1 0.2500 0.2500 0.2500
Pa1 0.0000 0.0000 0.0000

***

(7)
ErBeCo | GGA-PBE | relaxed

Values from the calculation:
Excess energy over the best structure of this formula in the dataset = 0.000 eV/atom
Total magnetization = 0.0 μB/f.u.
V = 97.0 Å³/cell
Formation enthalpy at 0 K = -0.76 eV per formula unit

a = 3.9498 Å, b = 3.9498 Å, c = 6.2181 Å
α = 90.00°, β = 90.00°, γ = 90.00°
Fractional coordinates of all 6 atoms:
Co1 0.7500 0.2500 0.0000
Co2 0.2500 0.7500 0.0000
Be1 0.7500 0.7500 0.8439
Be2 0.2500 0.2500 0.1561
Er1 0.2500 0.2500 0.6917
Er2 0.7500 0.7500 0.3083

***

(8)
Ca2Nd5Tm | GGA-PBE | relaxed

Values from the calculation:
Total magnetization = 0.0 μB/f.u.
V = 286.7 Å³/cell
Formation enthalpy at 0 K = 0.34 eV per formula unit

a = 5.1991 Å, b = 5.1991 Å, c = 11.2273 Å
α = 103.39°, β = 103.39°, γ = 90.00°
Fractional coordinates of all 8 atoms:
Ca1 0.2504 0.2504 0.5008
Ca2 0.7496 0.7496 0.4992
Nd1 0.8827 0.3827 0.7655
Nd2 0.6173 0.1173 0.2345
Nd3 0.1173 0.6173 0.2345
Nd4 0.5000 0.5000 0.0000
Nd5 0.3827 0.8827 0.7655
Tm1 0.0000 0.0000 0.0000

***

(9)
CoSiAs2 | GGA-PBE | relaxed

Values from the calculation:
Raw formation energy = 513 meV/atom
Total magnetization = 1.1 μB/f.u.
V = 61.4 Å³/cell

a = 4.4291 Å, b = 4.4291 Å, c = 4.4291 Å
α = 60.00°, β = 60.00°, γ = 60.00°
Last column: magnetic moment on the atom in μB.
Fractional coordinates of all 4 atoms:
As1 0.2500 0.2500 0.2500  0.01
As2 0.0000 0.0000 0.0000  0.05
Si1 0.7500 0.7500 0.7500  0.00
Co1 0.5000 0.5000 0.5000  0.99

***

(10)
BaLa5In3 | GGA-PBE | relaxed

Values from the calculation:
Total magnetization = 0.0 μB/f.u.
V = 611.7 Å³/cell
Formation enthalpy at 0 K = -2.96 eV per formula unit

a = 7.2409 Å, b = 9.8767 Å, c = 9.8772 Å
α = 120.00°, β = 90.00°, γ = 90.00°
Fractional coordinates of all 18 atoms:
In1 0.2500 0.3376 0.0000
In2 0.7500 0.3376 0.3376
In3 0.7500 0.0000 0.6624
In4 0.2500 0.0000 0.3376
In5 0.7500 0.6624 0.0000
In6 0.2500 0.6624 0.6624
La1 0.2500 0.6633 0.0000
La2 0.7500 0.6633 0.6633
La3 0.0000 0.3333 0.6667
La4 0.5000 0.6667 0.3333
La5 0.5000 0.3333 0.6667
La6 0.0000 0.6667 0.3333
La7 0.7500 0.3367 0.0000
La8 0.2500 0.0000 0.6633
La9 0.2500 0.3367 0.3367
La10 0.7500 0.0000 0.3367
Ba1 0.5000 0.0000 0.0000
Ba2 0.0000 0.0000 0.0000

***

(11)
ReOs3Cl | GGA-PBE | relaxed

Values from the calculation:
Excess energy over the best structure of this formula in the dataset = 0.326 eV/atom
Raw formation energy = 2467 meV/atom
Total magnetization = 4.2 μB/f.u.
V = 110.7 Å³/cell

a = 4.8017 Å, b = 4.8017 Å, c = 4.8017 Å
α = 90.00°, β = 90.00°, γ = 90.00°
Last column: magnetic moment on the atom in μB.
Fractional coordinates of all 5 atoms:
Os1 0.0000 0.0000 0.5000  1.34
Os2 0.0000 0.5000 0.0000  1.34
Os3 0.5000 0.0000 0.0000  1.15
Re1 0.0000 0.0000 0.0000  -0.22
Cl1 0.5000 0.5000 0.5000  0.25

***

(12)
Y2BeRuCl | GGA-PBE | relaxed

Values from the calculation:
Raw formation energy = -151 meV/atom
Total magnetization = 0.0 μB/f.u.
V = 111.5 Å³/cell

a = 5.3040 Å, b = 5.3040 Å, c = 3.9642 Å
α = 90.00°, β = 90.00°, γ = 90.00°
Fractional coordinates of all 5 atoms:
Be1 0.0000 0.0000 0.0000
Cl1 0.5000 0.5000 0.5000
Y1 0.0000 0.5000 0.0000
Y2 0.5000 0.0000 0.0000
Ru1 0.0000 0.0000 0.5000

***

(13)
Mn2ZnIn | GGA-PBE | relaxed

Values from the calculation:
Total magnetization = 6.6 μB/f.u.
V = 64.4 Å³/cell
Formation enthalpy at 0 K = 0.86 eV per formula unit

a = 5.1232 Å, b = 5.1232 Å, c = 5.1232 Å
α = 135.83°, β = 135.83°, γ = 64.25°
Last column: magnetic moment on the atom in μB.
Fractional coordinates of all 4 atoms:
Mn1 0.0000 0.0000 0.0000  3.34
Mn2 0.2500 0.7500 0.5000  3.30
In1 0.7500 0.2500 0.5000  -0.12
Zn1 0.5000 0.5000 0.0000  -0.08

***

(14)
Tl2TcW | GGA-PBE | relaxed

Values from the calculation:
Excess energy over the best structure of this formula in the dataset = 0.000 eV/atom
Total magnetization = 0.0 μB/f.u.
V = 84.6 Å³/cell
Formation enthalpy at 0 K = 1.79 eV per formula unit

a = 3.1210 Å, b = 3.1213 Å, c = 8.8202 Å
α = 80.00°, β = 90.00°, γ = 90.00°
Fractional coordinates of all 4 atoms:
Tl1 0.5000 0.0363 0.2927
Tl2 0.0000 0.2158 0.9537
W1 0.0000 0.4117 0.5484
Tc1 0.5000 0.8362 0.7053